Run one
VASP calculation (PBE) on a geometry-optimized CsReNO structure.

- SG = No. 129

a b c (Å): 3.741 3.741 11.124
angles (deg): 90.00 90.00 90.00
Element x y z (fractional)
1 O 0.250 0.750 0.000
2 Cs 0.750 0.750 0.815
3 Re 0.750 0.250 0.500
4 N 0.750 0.750 0.420
5 Re 0.250 0.750 0.500
6 O 0.750 0.250 0.000
7 Cs 0.250 0.250 0.185
8 N 0.250 0.250 0.580

***

Run two
VASP calculation (PBE) on a geometry-optimized CsReNO structure.

- SG = No. 26

a b c (Å): 3.853 6.590 6.507
angles (deg): 90.00 90.00 90.00
Element x y z (fractional)
1 Re 0.000 0.001 0.634
2 O 0.500 0.499 0.330
3 N 0.000 0.254 0.508
4 Cs 0.500 0.000 0.167
5 Re 0.000 0.501 0.366
6 N 0.000 0.754 0.492
7 O 0.500 0.999 0.670
8 Cs 0.500 0.500 0.833

***

Relative stability in kJ/mol of atoms, measured from the most stable structure: run one 88.6; run two 0.0